(1)
The following is a PBE-GGA calculation of a geometry-optimized AcGa2I6 structure, from Alexandria.

abc: 9.836 10.392 10.392
angles: 91.70 73.48 73.48
Atoms (fractional coordinates):
I 0.876 0.197 0.997
I 0.376 0.997 0.197
I 0.751 0.624 0.037
I 0.964 0.341 0.362
Ga 0.734 0.425 0.241
Ga 0.234 0.241 0.425
Ga 0.266 0.575 0.759
I 0.536 0.638 0.659
I 0.749 0.963 0.376
Ac 0.750 0.929 0.071
I 0.624 0.003 0.803
I 0.249 0.376 0.963
I 0.036 0.659 0.638
Ga 0.766 0.759 0.575
I 0.251 0.037 0.624
I 0.464 0.362 0.341
I 0.124 0.803 0.003
Ac 0.250 0.071 0.929

Computed properties:
Calculated volume (Å³ per atom): 53.8
Space group: C2/c
Formation energy without anion corrections (eV per atom): -0.80

(2)
The following is a PBE-GGA calculation of a geometry-optimized Ac3GaI2 structure, from Alexandria.

abc: 8.265 8.323 8.220
angles: 80.60 59.82 71.04
Atoms (fractional coordinates):
Ac 0.291 0.209 0.000
I 0.000 0.000 0.000
Ac 0.568 0.218 0.358
Ga 0.669 0.000 0.662
Ac 0.432 0.782 0.642
Ac 0.709 0.791 0.000
Ac 0.074 0.782 0.358
I 0.157 0.500 0.685
Ac 0.926 0.218 0.642
Ga 0.331 0.000 0.338
I 0.500 0.500 0.000
I 0.843 0.500 0.315

Computed properties:
Calculated volume (Å³ per atom): 38.5
Space group: C2/m
Formation energy without anion corrections (eV per atom): -0.83

(3)
The following is a PBE-GGA calculation of a geometry-optimized AcGa2I5 structure, from Alexandria.

abc: 8.450 12.330 9.119
angles: 66.14 62.40 69.96
Atoms (fractional coordinates):
Ga 0.363 0.485 0.837
I 0.926 0.931 0.551
I 0.311 0.136 0.577
I 0.712 0.330 0.590
Ga 0.586 0.582 0.292
I 0.190 0.237 0.039
Ac 0.951 0.784 0.314
Ga 0.315 0.985 0.337
I 0.533 0.737 0.539
Ga 0.539 0.082 0.792
I 0.368 0.830 0.090
Ac 0.951 0.284 0.814
I 0.780 0.034 0.065
I 0.976 0.636 0.077
I 0.122 0.534 0.565
I 0.591 0.431 0.051

Computed properties:
Calculated volume (Å³ per atom): 47.2
Space group: C2/c
Formation energy without anion corrections (eV per atom): -0.93